Entry from Alexandria via LeMat-Bulk: an optimized crystal structure of LiScB4H16 (PBE-GGA).

Cell: 5.9482 5.9482 11.6670 Å, 90.00 90.00 94.74°
With the nearest neighbours (Å) after each atom.
Positions (direct):
H: 0.9731 0.7318 0.8656  1 B 1.22
H: 0.5312 0.2075 0.1333  1 B 1.24
H: 0.7925 0.4688 0.6333  1 B 1.24
B: 0.2634 0.2302 0.3580  4 H 1.22-1.24
B: 0.7698 0.7366 0.8580  4 H 1.22-1.24
B: 0.7366 0.7698 0.3580  4 H 1.22-1.24
H: 0.7318 0.9731 0.3656  1 B 1.22
B: 0.7312 0.2857 0.1363  4 H 1.20-1.25
H: 0.1253 0.3141 0.4185  1 B 1.22
H: 0.7805 0.7290 0.2565  1 B 1.24
H: 0.6859 0.8747 0.9185  1 B 1.22
H: 0.6867 0.5462 0.8853  1 B 1.24
H: 0.8572 0.1758 0.0840  1 B 1.20
B: 0.2688 0.7143 0.1363  4 H 1.20-1.25
H: 0.4538 0.3133 0.3853  1 B 1.24
Li: 0.0000 0.0000 0.4587  6 H 1.93-2.03
H: 0.8242 0.1428 0.5840  1 B 1.20
H: 0.7832 0.3035 0.2390  1 B 1.24
Sc: 0.5000 0.5000 0.2342  10 H 2.08-2.13, 2 B 2.26
H: 0.2075 0.5312 0.6333  1 B 1.24
H: 0.3133 0.4538 0.8853  1 B 1.24
H: 0.4831 0.7307 0.6002  1 B 1.25
H: 0.2195 0.2710 0.2565  1 B 1.24
H: 0.1428 0.8242 0.0840  1 B 1.20
H: 0.8747 0.6859 0.4185  1 B 1.22
B: 0.2302 0.2634 0.8580  4 H 1.22-1.24
H: 0.3141 0.1253 0.9185  1 B 1.22
H: 0.5462 0.6867 0.3853  1 B 1.24
H: 0.2168 0.6965 0.2390  1 B 1.24
H: 0.1758 0.8572 0.5840  1 B 1.20
H: 0.5169 0.2693 0.6002  1 B 1.25
Sc: 0.5000 0.5000 0.7342  10 H 2.08-2.13, 2 B 2.26
H: 0.2710 0.2195 0.7565  1 B 1.24
Li: 0.0000 0.0000 0.9587  6 H 1.93-2.03
H: 0.7307 0.4831 0.1002  1 B 1.25
H: 0.0269 0.2682 0.8656  1 B 1.22
H: 0.7290 0.7805 0.7565  1 B 1.24
B: 0.7143 0.2688 0.6363  4 H 1.20-1.25
H: 0.2682 0.0269 0.3656  1 B 1.22
H: 0.6965 0.2168 0.7390  1 B 1.24
H: 0.3035 0.7832 0.7390  1 B 1.24
B: 0.2857 0.7312 0.6363  4 H 1.20-1.25
H: 0.4688 0.7925 0.1333  1 B 1.24
H: 0.2693 0.5169 0.1002  1 B 1.25

E_tot = -189.6 eV per cell
SG = Ccc2, No. 37



Entry from Alexandria via LeMat-Bulk: an optimized crystal structure of CsHg6Au (PBE-GGA).

Cell: 5.1517 5.1517 9.5786 Å, 90.00 90.00 90.00°
With the nearest neighbours (Å) after each atom.
Positions (direct):
Hg: 0.5000 0.0000 0.3376  2 Au 3.01, 3 Hg 3.09-3.11
Hg: 0.5000 0.0000 0.6624  2 Au 3.01, 3 Hg 3.09-3.11
Au: 0.0000 0.0000 0.5000  8 Hg 3.01
Hg: 0.5000 0.5000 0.8404  5 Hg 3.06-3.09
Hg: 0.0000 0.5000 0.3376  2 Au 3.01, 3 Hg 3.09-3.11
Cs: 0.0000 0.0000 0.0000  16 Hg 3.95-4.13
Hg: 0.5000 0.5000 0.1596  5 Hg 3.06-3.09
Hg: 0.0000 0.5000 0.6624  2 Au 3.01, 3 Hg 3.09-3.11

Offset from the most stable computed form = 5.7 meV/atom
SG = P4/mmm, No. 123
ΔE_f = -1.0 eV/f.u.



Entry from Alexandria via LeMat-Bulk: an optimized crystal structure of La2ZnIn (PBE-GGA).

Cell: 3.8274 3.8274 7.8425 Å, 90.00 90.00 90.00°
With the nearest neighbours (Å) after each atom.
Positions (direct):
La: 0.0000 0.0000 0.7695  4 Zn 3.25, 4 In 3.43, 1 La 3.61
Zn: 0.5000 0.5000 0.0000  8 La 3.25
La: 0.0000 0.0000 0.2305  4 Zn 3.25, 4 In 3.43, 1 La 3.61
In: 0.5000 0.5000 0.5000  8 La 3.43, 4 In 3.83

SG = P4/mmm, No. 123
ΔE_f = -1.7 eV/f.u.



Entry from Alexandria via LeMat-Bulk: an optimized crystal structure of CdHg (PBE-GGA).

Cell: 5.1096 5.1096 5.8694 Å, 90.00 90.00 120.00°
With the nearest neighbours (Å) after each atom.
Positions (direct):
Cd: 0.3333 0.6667 0.2500  5 Hg 2.93-2.95
Hg: 0.6667 0.3333 0.2500  5 Cd 2.93-2.95
Cd: 0.6667 0.3333 0.7500  5 Hg 2.93-2.95
Hg: 0.3333 0.6667 0.7500  5 Cd 2.93-2.95

SG = P6_3/mmc, No. 194
ΔE_f = 0.3 eV/f.u.



Entry from Alexandria via LeMat-Bulk: an optimized crystal structure of Y5Er2In2 (PBE-GGA).

Cell: 8.5444 5.9497 11.9616 Å, 104.40 110.93 90.00°
With the nearest neighbours (Å) after each atom.
Positions (direct):
Er: 0.9270 0.7318 0.5000  2 Er 3.23, 6 Y 3.31-3.49
Er: 0.5000 0.4851 0.0000  6 In 3.14-3.40, 2 Y 3.34
Y: 0.6670 0.2904 0.5000  2 Er 3.44-3.49, 6 Y 3.48-3.67
Y: 0.0515 0.5001 0.7771  2 In 3.17-3.36, 2 Y 3.33, 1 Er 3.37
Y: 0.2256 0.0001 0.7771  2 In 3.17-3.36, 2 Y 3.33, 1 Er 3.37
Y: 0.9486 0.7231 0.2229  2 In 3.17-3.36, 2 Y 3.33, 1 Er 3.37
Y: 0.7497 0.9313 0.7050  2 In 3.22-3.33, 2 Er 3.31-3.34, 2 Y 3.48-3.53
Y: 0.5447 0.7263 0.2950  2 In 3.22-3.33, 2 Er 3.31-3.34, 2 Y 3.48-3.53
Y: 0.4553 0.4313 0.7050  2 In 3.22-3.33, 2 Er 3.31-3.34, 2 Y 3.48-3.53
In: 0.1857 0.5135 0.0793  1 In 3.02, 2 Er 3.14-3.28, 4 Y 3.17-3.36
In: 0.3936 0.0135 0.0793  1 In 3.02, 2 Er 3.14-3.28, 4 Y 3.17-3.36
Y: 0.7744 0.2231 0.2229  2 In 3.17-3.36, 2 Y 3.33, 1 Er 3.37
In: 0.6064 0.9342 0.9207  1 In 3.02, 2 Er 3.14-3.28, 4 Y 3.17-3.36
Er: 0.0730 0.2318 0.5000  2 Er 3.23, 6 Y 3.31-3.49
Er: 0.0000 0.9851 0.0000  6 In 3.14-3.40, 2 Y 3.34
Y: 0.3330 0.7904 0.5000  2 Er 3.44-3.49, 6 Y 3.48-3.67
In: 0.8143 0.4342 0.9207  1 In 3.02, 2 Er 3.14-3.28, 4 Y 3.17-3.36
Y: 0.2503 0.2263 0.2950  2 In 3.22-3.33, 2 Er 3.31-3.34, 2 Y 3.48-3.53

SG = Ima2, No. 46
ΔE_f = -0.6 eV/f.u.



Entry from Alexandria via LeMat-Bulk: an optimized crystal structure of ScGeIrPd (PBE-GGA).

Cell: 4.4861 4.4861 4.4861 Å, 60.00 60.00 60.00°
With the nearest neighbours (Å) after each atom.
Positions (direct):
Pd: 0.5000 0.5000 0.5000  4 Sc 2.75, 4 Ge 2.75
Ge: 0.2500 0.2500 0.2500  4 Pd 2.75, 4 Ir 2.75
Ir: 0.0000 0.0000 0.0000  4 Ge 2.75, 4 Sc 2.75
Sc: 0.7500 0.7500 0.7500  4 Ir 2.75, 4 Pd 2.75

SG = F-43m, No. 216
ΔE_f = -2.7 eV/f.u.